KNa12Au6: relaxed, PBE.

Cell: 8.6009 8.6009 8.6009 Å, 104.63 104.63 104.63°
Closest atoms and distances in Å follow each position.
Positions (direct):
Au1 0.6994 0.2562 0.2562  7 Na 2.95-3.10
Au2 0.2562 0.6994 0.2562  7 Na 2.95-3.10
Au3 0.7438 0.7438 0.3006  7 Na 2.95-3.10
Au4 0.7438 0.3006 0.7438  7 Na 2.95-3.10
Au5 0.3006 0.7438 0.7438  7 Na 2.95-3.10
Au6 0.2562 0.2562 0.6994  7 Na 2.95-3.10
Na1 0.5652 0.8328 0.5652  3 Au 2.97-3.10
Na2 0.5652 0.5652 0.8328  3 Au 2.97-3.10
Na3 0.4348 0.1672 0.4348  3 Au 2.97-3.10
Na4 0.1199 0.8801 0.5000  4 Au 2.95-3.01, 1 Na 3.26
Na5 0.1672 0.4348 0.4348  3 Au 2.97-3.10
Na6 0.8801 0.5000 0.1199  4 Au 2.95-3.01, 1 Na 3.26
Na7 0.5000 0.8801 0.1199  4 Au 2.95-3.01, 1 Na 3.26
Na8 0.1199 0.5000 0.8801  4 Au 2.95-3.01, 1 Na 3.26
Na9 0.5000 0.1199 0.8801  4 Au 2.95-3.01, 1 Na 3.26
Na10 0.4348 0.4348 0.1672  3 Au 2.97-3.10
Na11 0.8801 0.1199 0.5000  4 Au 2.95-3.01, 1 Na 3.26
Na12 0.8328 0.5652 0.5652  3 Au 2.97-3.10
K1 0.0000 0.0000 0.0000  18 Na 4.19-4.60, 6 Au 4.44

Output
M_tot = 0.000 μB per atom
Uncorrected energy = -2.124 eV/atom
Calculated density = 4.43 Mg/m³
Crystal system = trigonal
Energy of formation from the pure elements = -0.20 eV per atom